Entry from Alexandria: an optimized crystal structure of KNa2Ta (PBE).

Results
Energy relative to the elements = 1443 meV/atom

Structure (CIF):
```
data_KNa2Ta
_chemical_formula_sum 'K2 Na4 Ta2'
_symmetry_space_group_name_H-M 'P 1'
_symmetry_Int_Tables_number 1
_symmetry_space_group_name_Hall 'P 1'
_cell_length_a 9.093
_cell_length_b 9.093
_cell_length_c 7.334
_cell_angle_alpha 51.69
_cell_angle_beta 51.69
_cell_angle_gamma 90.00
loop_
_atom_site_label
_atom_site_type_symbol
_atom_site_fract_x
_atom_site_fract_y
_atom_site_fract_z
Na1 Na 0.643 0.125 0.250
Na2 Na 0.107 0.625 0.250
Na3 Na 0.375 0.357 0.750
Na4 Na 0.875 0.893 0.750
K1 K 0.500 0.500 0.000
K2 K 0.250 0.750 0.500
Ta1 Ta 0.000 0.000 0.000
Ta2 Ta 0.750 0.250 0.500
```

Entry from Alexandria: an optimized crystal structure of VIn3H (PBE).

Structure (CIF):
```
data_VIn3H
_chemical_formula_sum 'V1 In3 H1'
_symmetry_space_group_name_H-M 'P 1'
_symmetry_Int_Tables_number 1
_symmetry_space_group_name_Hall 'P 1'
_cell_length_a 5.348
_cell_length_b 5.348
_cell_length_c 5.348
_cell_angle_alpha 90.00
_cell_angle_beta 90.00
_cell_angle_gamma 90.00
loop_
_atom_site_label
_atom_site_type_symbol
_atom_site_fract_x
_atom_site_fract_y
_atom_site_fract_z
H1 H 0.500 0.500 0.500
In1 In 0.000 0.500 0.000
In2 In 0.000 0.000 0.500
In3 In 0.500 0.000 0.000
V1 V 0.000 0.000 0.000
```

Computed values of E above lowest polymorph (unit: eV/atom) for the preceding records, in sequence: 0.121; 0.406.
Computed values of magnetic moment (unit: μB per formula unit) for the preceding records, in sequence: 4.01; 4.71.